Record 1
DFT (SCAN) results for a crystal of MoRh3N relaxed with PBEsol.

Values from the calculation:
As for the mass density: 10.81 Mg/m³. For the uncorrected formation energy, the calculation gives 2.03 eV per formula unit. Its space group is Pm-3m.

a = 4.006 Å, b = 4.006 Å, c = 4.006 Å
α = 90.00°, β = 90.00°, γ = 90.00°
Fractional coordinates of all 5 atoms:
Mo 0.500 0.500 0.500
Rh 0.000 0.500 0.000
Rh 0.000 0.000 0.500
Rh 0.500 0.000 0.000
N 0.000 0.000 0.000

***

Record 2
DFT (SCAN) results for a crystal of TaIn4Ir relaxed with PBEsol.

Values from the calculation:
As for the mass density: 11.51 Mg/m³. Its space group is F-43m. Its energy of formation is 973 meV/atom.

a = 5.538 Å, b = 5.538 Å, c = 5.538 Å
α = 60.00°, β = 60.00°, γ = 60.00°
Fractional coordinates of all 6 atoms:
In 0.375 0.375 0.375
In 0.375 0.375 0.875
In 0.875 0.375 0.375
In 0.375 0.875 0.375
Ir 0.750 0.750 0.750
Ta 0.000 0.000 0.000

***

Record 3
DFT (SCAN) results for a crystal of SrCa2Tc relaxed with PBEsol.

Values from the calculation:
As for the mass density: 3.96 Mg/m³. The offset from the most stable computed form is 0.09 eV/f.u. Its space group is P4/mmm. Its energy of formation is 731 meV/atom.

a = 4.859 Å, b = 4.790 Å, c = 4.790 Å
α = 90.00°, β = 90.00°, γ = 90.00°
Fractional coordinates of all 4 atoms:
Sr 0.500 0.500 0.500
Ca 0.000 0.000 0.500
Ca 0.000 0.500 0.000
Tc 0.500 0.000 0.000

***

Record 4
DFT (SCAN) results for a crystal of As2OsSe relaxed with PBEsol.

Values from the calculation:
As for the mass density: 9.85 Mg/m³. For the uncorrected formation energy, the calculation gives 1.59 eV per formula unit. The offset from the most stable computed form is 0.00 eV/f.u. Its space group is R3m.

a = 3.063 Å, b = 3.063 Å, c = 8.874 Å
α = 80.06°, β = 80.06°, γ = 60.00°
Fractional coordinates of all 4 atoms:
As 0.008 0.008 0.977
As 0.761 0.761 0.718
Os 0.498 0.498 0.507
Se 0.234 0.234 0.298

***

Record 5
DFT (SCAN) results for a crystal of Bi2Mo2Au relaxed with PBEsol.

Values from the calculation:
As for the mass density: 12.08 Mg/m³. Its space group is I4/mmm. Its energy of formation is 527 meV/atom.

a = 3.591 Å, b = 3.591 Å, c = 8.966 Å
α = 101.55°, β = 101.55°, γ = 90.00°
Fractional coordinates of all 5 atoms:
Mo 0.250 0.750 0.500
Mo 0.750 0.250 0.500
Au 0.000 0.000 0.000
Bi 0.390 0.390 0.780
Bi 0.610 0.610 0.220

***

Record 6
DFT (SCAN) results for a crystal of LaMg2H7 relaxed with PBEsol.

Values from the calculation:
Its total energy is -326.8 eV for the cell shown. As for the mass density: 3.47 Mg/m³. Its space group is P4_12_12.

a = 6.286 Å, b = 6.286 Å, c = 9.427 Å
α = 90.00°, β = 90.00°, γ = 90.00°
Fractional coordinates of all 40 atoms:
La 0.773 0.227 0.750
La 0.227 0.773 0.250
La 0.727 0.727 0.500
La 0.273 0.273 0.000
Mg 0.523 0.237 0.401
Mg 0.477 0.763 0.901
Mg 0.737 0.977 0.151
Mg 0.263 0.023 0.651
Mg 0.763 0.477 0.099
Mg 0.237 0.523 0.599
Mg 0.977 0.737 0.849
Mg 0.023 0.263 0.349
H 0.534 0.458 0.620
H 0.466 0.542 0.120
H 0.958 0.966 0.370
H 0.042 0.034 0.870
H 0.542 0.466 0.880
H 0.458 0.534 0.380
H 0.966 0.958 0.630
H 0.034 0.042 0.130
H 0.571 0.060 0.573
H 0.429 0.940 0.073
H 0.560 0.929 0.323
H 0.440 0.071 0.823
H 0.940 0.429 0.927
H 0.060 0.571 0.427
H 0.929 0.560 0.677
H 0.071 0.440 0.177
H 0.803 0.339 0.498
H 0.197 0.661 0.998
H 0.839 0.697 0.248
H 0.161 0.303 0.748
H 0.661 0.197 0.002
H 0.339 0.803 0.502
H 0.697 0.839 0.752
H 0.303 0.161 0.252
H 0.262 0.738 0.750
H 0.738 0.262 0.250
H 0.238 0.238 0.500
H 0.762 0.762 0.000

***

Which formula does entry 2 have?
TaIn4Ir